# PrTiSe3 PBE-GGA optimized geometry
# formation energy from raw total energies	-691	kJ/mol of formula units
# crystal system	monoclinic
# calculated volume	540.9	Å³ per cell
# total magnetic moment	4.02	μB/cell
data_PrTiSe3
_chemical_formula_sum 'Pr4 Ti4 Se12'
_symmetry_space_group_name_H-M 'P 1'
_symmetry_Int_Tables_number 1
_cell_length_a 9.3092
_cell_length_b 7.6333
_cell_length_c 8.5254
_cell_angle_alpha 90.00
_cell_angle_beta 116.78
_cell_angle_gamma 90.00
loop_
_symmetry_equiv_pos_as_xyz
'x,y,z'
loop_
_atom_site_label
_atom_site_fract_x
_atom_site_fract_y
_atom_site_fract_z
Pr1 0.1129 0.2163 0.0540
Pr2 0.1129 0.2837 0.5540
Pr3 0.8871 0.7163 0.4460
Pr4 0.8871 0.7837 0.9460
Ti1 0.3294 0.6062 0.9205
Ti2 0.3294 0.8938 0.4205
Ti3 0.6706 0.1062 0.5795
Ti4 0.6706 0.3938 0.0795
Se1 0.0210 0.5130 0.7920
Se2 0.0210 0.9870 0.2920
Se3 0.2590 0.6732 0.6109
Se4 0.2590 0.8268 0.1109
Se5 0.3823 0.2165 0.4480
Se6 0.3823 0.2835 0.9480
Se7 0.6177 0.7165 0.0520
Se8 0.6177 0.7835 0.5520
Se9 0.7410 0.1732 0.8891
Se10 0.7410 0.3268 0.3891
Se11 0.9790 0.0130 0.7080
Se12 0.9790 0.4870 0.2080


# Pr3TiSe6 PBE-GGA optimized geometry
# formation energy from raw total energies	-1566	kJ/mol of formula units
# crystal system	orthorhombic
# calculated volume	584.8	Å³ per cell
# total magnetic moment	2.04	μB/cell
data_Pr3TiSe6
_chemical_formula_sum 'Pr6 Ti2 Se12'
_symmetry_space_group_name_H-M 'P 1'
_symmetry_Int_Tables_number 1
_cell_length_a 9.2174
_cell_length_b 9.2174
_cell_length_c 7.0408
_cell_angle_alpha 90.00
_cell_angle_beta 90.00
_cell_angle_gamma 102.13
loop_
_symmetry_equiv_pos_as_xyz
'x,y,z'
loop_
_atom_site_label
_atom_site_fract_x
_atom_site_fract_y
_atom_site_fract_z
Pr1 0.0982 0.9018 0.5000
Pr2 0.2217 0.4176 0.4084
Pr3 0.4176 0.2217 0.9084
Pr4 0.5824 0.7783 0.4084
Pr5 0.7783 0.5824 0.9084
Pr6 0.9018 0.0982 0.0000
Ti1 0.3019 0.6981 0.8661
Ti2 0.6981 0.3019 0.3661
Se1 0.0703 0.5996 0.6983
Se2 0.1330 0.1927 0.7043
Se3 0.1927 0.1330 0.2043
Se4 0.2786 0.7214 0.2165
Se5 0.4004 0.9297 0.6983
Se6 0.4621 0.5379 0.7240
Se7 0.5379 0.4621 0.2240
Se8 0.5996 0.0703 0.1983
Se9 0.7214 0.2786 0.7165
Se10 0.8073 0.8670 0.7043
Se11 0.8670 0.8073 0.2043
Se12 0.9297 0.4004 0.1983


# PrTiSe3 PBE-GGA optimized geometry
# formation energy from raw total energies	-723	kJ/mol of formula units
# crystal system	orthorhombic
# calculated volume	457.3	Å³ per cell
# total magnetic moment	3.27	μB/cell
data_PrTiSe3
_chemical_formula_sum 'Pr4 Ti4 Se12'
_symmetry_space_group_name_H-M 'P 1'
_symmetry_Int_Tables_number 1
_cell_length_a 8.3161
_cell_length_b 3.9150
_cell_length_c 14.0467
_cell_angle_alpha 90.00
_cell_angle_beta 90.00
_cell_angle_gamma 90.00
loop_
_symmetry_equiv_pos_as_xyz
'x,y,z'
loop_
_atom_site_label
_atom_site_fract_x
_atom_site_fract_y
_atom_site_fract_z
Pr1 0.0864 0.2500 0.1702
Pr2 0.4136 0.7500 0.6702
Pr3 0.5864 0.2500 0.3298
Pr4 0.9136 0.7500 0.8298
Ti1 0.1425 0.7500 0.4540
Ti2 0.3575 0.2500 0.9540
Ti3 0.6425 0.7500 0.0460
Ti4 0.8575 0.2500 0.5460
Se1 0.0261 0.7500 0.6180
Se2 0.1591 0.7500 0.0066
Se3 0.1988 0.2500 0.7912
Se4 0.3012 0.7500 0.2912
Se5 0.3409 0.2500 0.5066
Se6 0.4739 0.2500 0.1180
Se7 0.5261 0.7500 0.8820
Se8 0.6591 0.7500 0.4934
Se9 0.6988 0.2500 0.7088
Se10 0.8012 0.7500 0.2088
Se11 0.8409 0.2500 0.9934
Se12 0.9739 0.2500 0.3820


# PrTiSe PBE-GGA optimized geometry
# formation energy from raw total energies	-281	kJ/mol of formula units
# crystal system	tetragonal
# calculated volume	131.4	Å³ per cell
# total magnetic moment	0.00	μB/cell
data_PrTiSe
_chemical_formula_sum 'Pr2 Ti2 Se2'
_symmetry_space_group_name_H-M 'P 1'
_symmetry_Int_Tables_number 1
_cell_length_a 4.0234
_cell_length_b 4.0234
_cell_length_c 8.1185
_cell_angle_alpha 90.00
_cell_angle_beta 90.00
_cell_angle_gamma 90.00
loop_
_symmetry_equiv_pos_as_xyz
'x,y,z'
loop_
_atom_site_label
_atom_site_fract_x
_atom_site_fract_y
_atom_site_fract_z
Pr1 0.2500 0.2500 0.1479
Pr2 0.7500 0.7500 0.8521
Ti1 0.2500 0.7500 0.5000
Ti2 0.7500 0.2500 0.5000
Se1 0.2500 0.2500 0.7240
Se2 0.7500 0.7500 0.2760


# Pr3TiTl3Se8 PBE-GGA optimized geometry
# formation energy from raw total energies	-1846	kJ/mol of formula units
# crystal system	trigonal
# calculated volume	479.7	Å³ per cell
# total magnetic moment	0.00	μB/cell
data_Pr3TiTl3Se8
_chemical_formula_sum 'Pr3 Ti1 Tl3 Se8'
_symmetry_space_group_name_H-M 'P 1'
_symmetry_Int_Tables_number 1
_cell_length_a 9.1997
_cell_length_b 9.1997
_cell_length_c 9.1997
_cell_angle_alpha 54.48
_cell_angle_beta 54.48
_cell_angle_gamma 54.48
loop_
_symmetry_equiv_pos_as_xyz
'x,y,z'
loop_
_atom_site_label
_atom_site_fract_x
_atom_site_fract_y
_atom_site_fract_z
Pr1 0.0000 0.5000 0.5000
Pr2 0.5000 0.0000 0.5000
Pr3 0.5000 0.5000 0.0000
Ti1 0.0000 0.0000 0.0000
Tl1 0.0000 0.0000 0.5000
Tl2 0.0000 0.5000 0.0000
Tl3 0.5000 0.0000 0.0000
Se1 0.2135 0.2135 0.7691
Se2 0.2135 0.7691 0.2135
Se3 0.2309 0.7865 0.7865
Se4 0.2613 0.2613 0.2613
Se5 0.7387 0.7387 0.7387
Se6 0.7691 0.2135 0.2135
Se7 0.7865 0.2309 0.7865
Se8 0.7865 0.7865 0.2309


# Pr2TiTl3Se6 PBE-GGA optimized geometry
# formation energy from raw total energies	-1331	kJ/mol of formula units
# crystal system	monoclinic
# calculated volume	351.9	Å³ per cell
# total magnetic moment	1.00	μB/cell
data_Pr2TiTl3Se6
_chemical_formula_sum 'Pr2 Ti1 Tl3 Se6'
_symmetry_space_group_name_H-M 'P 1'
_symmetry_Int_Tables_number 1
_cell_length_a 7.2395
_cell_length_b 7.2395
_cell_length_c 8.1217
_cell_angle_alpha 98.64
_cell_angle_beta 98.64
_cell_angle_gamma 119.93
loop_
_symmetry_equiv_pos_as_xyz
'x,y,z'
loop_
_atom_site_label
_atom_site_fract_x
_atom_site_fract_y
_atom_site_fract_z
Pr1 0.1652 0.8348 0.0000
Pr2 0.8348 0.1652 0.0000
Ti1 0.5000 0.5000 0.0000
Tl1 0.0000 0.0000 0.5000
Tl2 0.3265 0.6735 0.5000
Tl3 0.6735 0.3265 0.5000
Se1 0.1315 0.4336 0.7989
Se2 0.2661 0.2661 0.2119
Se3 0.4336 0.1315 0.7989
Se4 0.5664 0.8685 0.2011
Se5 0.7339 0.7339 0.7881
Se6 0.8685 0.5664 0.2011


# Pr2TlSe PBE-GGA optimized geometry
# formation energy from raw total energies	-421	kJ/mol of formula units
# crystal system	trigonal
# calculated volume	367.2	Å³ per cell
# total magnetic moment	0.00	μB/cell
data_Pr2TlSe
_chemical_formula_sum 'Pr6 Tl3 Se3'
_symmetry_space_group_name_H-M 'P 1'
_symmetry_Int_Tables_number 1
_cell_length_a 4.2086
_cell_length_b 4.2086
_cell_length_c 23.9374
_cell_angle_alpha 90.00
_cell_angle_beta 90.00
_cell_angle_gamma 120.00
loop_
_symmetry_equiv_pos_as_xyz
'x,y,z'
loop_
_atom_site_label
_atom_site_fract_x
_atom_site_fract_y
_atom_site_fract_z
Pr1 0.0000 0.0000 0.2414
Pr2 0.0000 0.0000 0.7586
Pr3 0.3333 0.6667 0.4253
Pr4 0.3333 0.6667 0.9080
Pr5 0.6667 0.3333 0.0920
Pr6 0.6667 0.3333 0.5747
Tl1 0.0000 0.0000 0.0000
Tl2 0.3333 0.6667 0.6667
Tl3 0.6667 0.3333 0.3333
Se1 0.0000 0.0000 0.5000
Se2 0.3333 0.6667 0.1667
Se3 0.6667 0.3333 0.8333


# PrTl4Se4 PBE-GGA optimized geometry
# formation energy from raw total energies	-658	kJ/mol of formula units
# crystal system	monoclinic
# calculated volume	295.4	Å³ per cell
# total magnetic moment	0.00	μB/cell
data_PrTl4Se4
_chemical_formula_sum 'Pr1 Tl4 Se4'
_symmetry_space_group_name_H-M 'P 1'
_symmetry_Int_Tables_number 1
_cell_length_a 7.6900
_cell_length_b 7.6900
_cell_length_c 10.1748
_cell_angle_alpha 114.86
_cell_angle_beta 114.86
_cell_angle_gamma 33.11
loop_
_symmetry_equiv_pos_as_xyz
'x,y,z'
loop_
_atom_site_label
_atom_site_fract_x
_atom_site_fract_y
_atom_site_fract_z
Pr1 0.0000 0.0000 0.0000
Tl1 0.2158 0.2158 0.7955
Tl2 0.4110 0.4110 0.5851
Tl3 0.5890 0.5890 0.4149
Tl4 0.7842 0.7842 0.2045
Se1 0.1718 0.1718 0.3031
Se2 0.4018 0.4018 0.0918
Se3 0.5982 0.5982 0.9082
Se4 0.8282 0.8282 0.6969


# Pr2TlSe PBE-GGA optimized geometry
# formation energy from raw total energies	-372	kJ/mol of formula units
# crystal system	tetragonal
# calculated volume	110.9	Å³ per cell
# total magnetic moment	0.00	μB/cell
data_Pr2TlSe
_chemical_formula_sum 'Pr2 Tl1 Se1'
_symmetry_space_group_name_H-M 'P 1'
_symmetry_Int_Tables_number 1
_cell_length_a 3.6476
_cell_length_b 3.6476
_cell_length_c 8.3382
_cell_angle_alpha 90.00
_cell_angle_beta 90.00
_cell_angle_gamma 90.00
loop_
_symmetry_equiv_pos_as_xyz
'x,y,z'
loop_
_atom_site_label
_atom_site_fract_x
_atom_site_fract_y
_atom_site_fract_z
Pr1 0.0000 0.0000 0.2279
Pr2 0.0000 0.0000 0.7721
Tl1 0.5000 0.5000 0.5000
Se1 0.5000 0.5000 0.0000


# Pr5TlSe4 PBE-GGA optimized geometry
# formation energy from raw total energies	-1501	kJ/mol of formula units
# crystal system	tetragonal
# calculated volume	287.5	Å³ per cell
# total magnetic moment	0.00	μB/cell
data_Pr5TlSe4
_chemical_formula_sum 'Pr5 Tl1 Se4'
_symmetry_space_group_name_H-M 'P 1'
_symmetry_Int_Tables_number 1
_cell_length_a 7.5082
_cell_length_b 7.5082
_cell_length_c 7.5082
_cell_angle_alpha 99.54
_cell_angle_beta 99.54
_cell_angle_gamma 131.95
loop_
_symmetry_equiv_pos_as_xyz
'x,y,z'
loop_
_atom_site_label
_atom_site_fract_x
_atom_site_fract_y
_atom_site_fract_z
Pr1 0.0000 0.0000 0.0000
Pr2 0.1925 0.6007 0.7932
Pr3 0.3993 0.1925 0.5918
Pr4 0.6007 0.8075 0.4082
Pr5 0.8075 0.3993 0.2068
Tl1 0.5000 0.5000 0.0000
Se1 0.1027 0.2992 0.4019
Se2 0.2992 0.8973 0.1966
Se3 0.7008 0.1027 0.8034
Se4 0.8973 0.7008 0.5981


# PrTl2Se PBE-GGA optimized geometry
# formation energy from raw total energies	-42	kJ/mol of formula units
# crystal system	trigonal
# calculated volume	402.6	Å³ per cell
# total magnetic moment	0.00	μB/cell
data_PrTl2Se
_chemical_formula_sum 'Pr3 Tl6 Se3'
_symmetry_space_group_name_H-M 'P 1'
_symmetry_Int_Tables_number 1
_cell_length_a 3.8579
_cell_length_b 3.8579
_cell_length_c 31.2340
_cell_angle_alpha 90.00
_cell_angle_beta 90.00
_cell_angle_gamma 120.00
loop_
_symmetry_equiv_pos_as_xyz
'x,y,z'
loop_
_atom_site_label
_atom_site_fract_x
_atom_site_fract_y
_atom_site_fract_z
Pr1 0.0000 0.0000 0.0000
Pr2 0.3333 0.6667 0.6667
Pr3 0.6667 0.3333 0.3333
Tl1 0.0000 0.0000 0.1042
Tl2 0.0000 0.0000 0.8958
Tl3 0.3333 0.6667 0.5625
Tl4 0.3333 0.6667 0.7708
Tl5 0.6667 0.3333 0.2292
Tl6 0.6667 0.3333 0.4375
Se1 0.0000 0.0000 0.5000
Se2 0.3333 0.6667 0.1667
Se3 0.6667 0.3333 0.8333


# Pr3TlSe6 PBE-GGA optimized geometry
# formation energy from raw total energies	-1405	kJ/mol of formula units
# crystal system	orthorhombic
# calculated volume	604.5	Å³ per cell
# total magnetic moment	0.00	μB/cell
data_Pr3TlSe6
_chemical_formula_sum 'Pr6 Tl2 Se12'
_symmetry_space_group_name_H-M 'P 1'
_symmetry_Int_Tables_number 1
_cell_length_a 9.3065
_cell_length_b 9.3065
_cell_length_c 7.1522
_cell_angle_alpha 90.00
_cell_angle_beta 90.00
_cell_angle_gamma 102.62
loop_
_symmetry_equiv_pos_as_xyz
'x,y,z'
loop_
_atom_site_label
_atom_site_fract_x
_atom_site_fract_y
_atom_site_fract_z
Pr1 0.0946 0.9054 0.5000
Pr2 0.2175 0.4118 0.4021
Pr3 0.4118 0.2175 0.9021
Pr4 0.5882 0.7825 0.4021
Pr5 0.7825 0.5882 0.9021
Pr6 0.9054 0.0946 0.0000
Tl1 0.2984 0.7016 0.8789
Tl2 0.7016 0.2984 0.3789
Se1 0.0553 0.5959 0.6694
Se2 0.1298 0.1950 0.7030
Se3 0.1950 0.1298 0.2030
Se4 0.2777 0.7223 0.2488
Se5 0.4041 0.9447 0.6694
Se6 0.4691 0.5309 0.7062
Se7 0.5309 0.4691 0.2062
Se8 0.5959 0.0553 0.1694
Se9 0.7223 0.2777 0.7488
Se10 0.8050 0.8702 0.7030
Se11 0.8702 0.8050 0.2030
Se12 0.9447 0.4041 0.1694


Question: What is the total magnetic moment in the eighth record?
Answer: 0.00 μB/cell